Compound: Hf2MgSc
Source: Alexandria via LeMat-Bulk
Functional: PBE-GGA
Structure: optimized geometry

```
4
Lattice="1.5477 0.8935 11.3157 -1.5477 0.8935 11.3157 0.0000 -1.7871 11.3157" Properties=species:S:1:pos:R:3 pbc="T T T"
Hf 0.0000 0.0000 3.0139
Hf 0.0000 0.0000 30.9332
Mg 0.0000 0.0000 0.0000
Sc 0.0000 0.0000 16.9735
```

Summary:
Its energy is -26.70 eV/cell. The value obtained for the energy of formation from the pure elements is 0.283 eV per atom.